Entry 1:
A plane-wave DFT calculation with PBE was carried out for a geometry-optimized Fe2IrRuAu structure.

Cell: 4.5814 4.5814 4.9041 Å, 90.00 90.00 90.00°
Closest atoms and distances in Å follow each position.
Element x y z (fractional)
Fe: 0.0000 0.5000 0.0000  2 Au 2.29
Fe: 0.5000 0.0000 0.0000  2 Au 2.29
Ir: 0.0000 0.0000 0.5000  2 Au 2.45
Ru: 0.5000 0.5000 0.5000  4 Ir 3.24, 8 Fe 3.36
Au: 0.0000 0.0000 0.0000  4 Fe 2.29, 2 Ir 2.45

total energy: -5.60 eV per atom
space-group type: P4/mmm

Entry 2:
A plane-wave DFT calculation with PBE was carried out for a geometry-optimized Fe2TcIrAu structure.

Cell: 4.3079 4.3079 4.9541 Å, 90.00 90.00 90.00°
Closest atoms and distances in Å follow each position.
Element x y z (fractional)
Fe: 0.0000 0.5000 0.0000  2 Tc 2.15
Fe: 0.5000 0.0000 0.0000  2 Tc 2.15
Tc: 0.0000 0.0000 0.0000  4 Fe 2.15
Ir: 0.5000 0.5000 0.5000  4 Au 3.05, 8 Fe 3.28
Au: 0.0000 0.0000 0.5000  2 Tc 2.48

total energy: -6.15 eV per atom
space-group type: P4/mmm

Entry 3:
A plane-wave DFT calculation with PBE was carried out for a geometry-optimized ZnFeIrAu structure.

Cell: 4.3681 4.3681 4.3681 Å, 60.00 60.00 60.00°
Closest atoms and distances in Å follow each position.
Element x y z (fractional)
Zn: 0.0000 0.0000 0.0000  4 Ir 2.67, 4 Au 2.67
Fe: 0.5000 0.5000 0.5000  4 Ir 2.67, 4 Au 2.67
Ir: 0.7500 0.7500 0.7500  4 Zn 2.67, 4 Fe 2.67
Au: 0.2500 0.2500 0.2500  4 Fe 2.67, 4 Zn 2.67

total energy: -5.44 eV per atom
space-group type: F-43m

Entry 4:
A plane-wave DFT calculation with PBE was carried out for a geometry-optimized K2FeAu2 structure.

Cell: 6.8893 6.8893 5.5084 Å, 90.00 90.00 90.00°
Closest atoms and distances in Å follow each position.
Element x y z (fractional)
K: 0.1745 0.3255 0.0000  6 Au 3.26-3.53, 5 K 3.40-3.60
K: 0.3255 0.8255 0.0000  6 Au 3.26-3.53, 5 K 3.40-3.60
K: 0.6745 0.1745 0.0000  6 Au 3.26-3.53, 5 K 3.40-3.60
K: 0.8255 0.6745 0.0000  6 Au 3.26-3.53, 5 K 3.40-3.60
Fe: 0.0000 0.0000 0.5000  4 Au 2.64
Fe: 0.5000 0.5000 0.5000  4 Au 2.64
Au: 0.1457 0.6457 0.5000  2 Fe 2.64, 1 Au 2.84
Au: 0.3543 0.1457 0.5000  2 Fe 2.64, 1 Au 2.84
Au: 0.6457 0.8543 0.5000  2 Fe 2.64, 1 Au 2.84
Au: 0.8543 0.3543 0.5000  2 Fe 2.64, 1 Au 2.84

total energy: -3.26 eV per atom
space-group type: P4/mbm

Entry 5:
A plane-wave DFT calculation with PBE was carried out for a geometry-optimized KFeAu2 structure.

Cell: 5.0001 5.0001 6.8224 Å, 95.93 95.93 33.37°
Closest atoms and distances in Å follow each position.
Element x y z (fractional)
K: 0.0000 0.0000 0.0000  2 K 2.87, 1 Au 3.20
Fe: 0.7780 0.7780 0.3869  5 Au 2.64-2.67, 2 Fe 2.87
Au: 0.2392 0.2392 0.7061  2 Fe 2.67, 2 Au 2.87
Au: 0.5098 0.5098 0.4563  3 Fe 2.64-2.66, 2 Au 2.87

total energy: -3.76 eV per atom
space-group type: Cm

Entry 6:
A plane-wave DFT calculation with PBE was carried out for a geometry-optimized KFeAu2 structure.

Cell: 10.3721 10.3721 10.3721 Å, 16.72 16.72 16.72°
Closest atoms and distances in Å follow each position.
Element x y z (fractional)
K: 0.0000 0.0000 0.0000  6 K 3.02, 3 Au 3.29
Fe: 0.2368 0.2368 0.2368  3 Au 2.69
Au: 0.5033 0.5033 0.5033  3 Fe 2.69, 3 Au 2.98
Au: 0.7576 0.7576 0.7576  9 Au 2.98-3.02, 3 K 3.29

total energy: -3.51 eV per atom
space-group type: R3m

Question: Which value of total energy does entry 5 give?
Answer: -3.76 eV per atom

Question: Look up the total energy of the third one.
Answer: -5.44 eV per atom

Question: What is the total energy in the fifth record?
Answer: -3.76 eV per atom

Question: Look up the total energy of the sixth one.
Answer: -3.51 eV per atom